No. 1
{
  "formula": "Ba2PmTaS6",
  "functional": "PBE",
  "state": "optimized geometry",
  "e_tot_ev_per_cell": -123.22,
  "volume_a3_per_cell": 564,
  "magnetic_moment_mub_per_fu": 0.00,
  "spacegroup": "No. 166",
  "cell": [[3.5293, 2.0377, 13.0595], [-3.5293, 2.0377, 13.0595], [0.0000, -4.0753, 13.0595]],
  "species": ["Ba", "Ba", "Ba", "Ba", "Pm", "Pm", "Ta", "Ta", "S", "S", "S", "S", "S", "S", "S", "S", "S", "S", "S", "S"],
  "frac_coords": [[0.1390, 0.1390, 0.1390], [0.3054, 0.3054, 0.3054], [0.6946, 0.6946, 0.6946], [0.8610, 0.8610, 0.8610], [0.4142, 0.4142, 0.4142], [0.5858, 0.5858, 0.5858], [0.0000, 0.0000, 0.0000], [0.5000, 0.5000, 0.5000], [0.1333, 0.6280, 0.6280], [0.1978, 0.1978, 0.7138], [0.1978, 0.7138, 0.1978], [0.2862, 0.8022, 0.8022], [0.3720, 0.3720, 0.8667], [0.3720, 0.8667, 0.3720], [0.6280, 0.1333, 0.6280], [0.6280, 0.6280, 0.1333], [0.7138, 0.1978, 0.1978], [0.8022, 0.2862, 0.8022], [0.8022, 0.8022, 0.2862], [0.8667, 0.3720, 0.3720]]
}


No. 2
{
  "formula": "Sm2HoScO6",
  "functional": "PBE",
  "state": "optimized geometry",
  "e_tot_ev_per_cell": -84.73,
  "volume_a3_per_cell": 144,
  "magnetic_moment_mub_per_fu": 0.00,
  "spacegroup": "No. 146",
  "dos_at_fermi_per_ev_cell": 0.0,
  "cell": [[2.8956, 1.6718, 4.9591], [-2.8956, 1.6718, 4.9591], [0.0000, -3.3435, 4.9591]],
  "species": ["Sm", "Sm", "Ho", "Sc", "O", "O", "O", "O", "O", "O"],
  "frac_coords": [[0.0000, 0.0000, 0.0000], [0.4986, 0.4986, 0.4986], [0.2218, 0.2218, 0.2218], [0.7184, 0.7184, 0.7184], [0.0760, 0.4349, 0.8401], [0.3500, 0.9168, 0.5936], [0.4349, 0.8401, 0.0760], [0.5936, 0.3500, 0.9168], [0.8401, 0.0760, 0.4349], [0.9168, 0.5936, 0.3500]]
}


No. 3
{
  "formula": "HfGaAsBr2",
  "functional": "PBE",
  "state": "optimized geometry",
  "e_tot_ev_per_cell": -18.87,
  "volume_a3_per_cell": 127,
  "magnetic_moment_mub_per_fu": 0.86,
  "spacegroup": "No. 123",
  "relative_energy_ev_per_fu": 4.12,
  "dos_at_fermi_per_ev_cell": 3.4,
  "cell": [[4.9742, 0.0000, 0.0000], [0.0000, 4.9742, 0.0000], [0.0000, 0.0000, 5.1367]],
  "species": ["Hf", "Ga", "As", "Br", "Br"],
  "frac_coords": [[0.0000, 0.0000, 0.0000], [0.5000, 0.5000, 0.5000], [0.5000, 0.5000, 0.0000], [0.0000, 0.5000, 0.5000], [0.5000, 0.0000, 0.5000]]
}


| no. | raw formation energy (eV/atom) |
| --- | --- |
| 1 | -1.64 |
| 2 | -3.46 |
| 3 | 0.42 |